--- w ---
Ac2HAu | PBE-GGA | optimized geometry

Structure (CIF):
```
data_Ac2HAu
_symmetry_space_group_name_H-M 'P 4/m m m'
_symmetry_Int_Tables_number 123
_symmetry_space_group_name_Hall '-P 4 2'
_cell_length_a 3.7067
_cell_length_b 3.7067
_cell_length_c 7.6319
_cell_angle_alpha 90.00
_cell_angle_beta 90.00
_cell_angle_gamma 90.00
loop_
_atom_site_label
_atom_site_type_symbol
_atom_site_fract_x
_atom_site_fract_y
_atom_site_fract_z
Ac1 Ac 0.0000 0.0000 0.2396
H1 H 0.5000 0.5000 0.0000
Au1 Au 0.5000 0.5000 0.5000
```

--- x ---
Ac2HAu | PBE-GGA | optimized geometry

Structure (CIF):
```
data_Ac2HAu
_symmetry_space_group_name_H-M 'R -3 m'
_symmetry_Int_Tables_number 166
_symmetry_space_group_name_Hall '-R 3 2"'
_cell_length_a 4.3660
_cell_length_b 4.3660
_cell_length_c 20.7011
_cell_angle_alpha 90.00
_cell_angle_beta 90.00
_cell_angle_gamma 120.00
loop_
_atom_site_label
_atom_site_type_symbol
_atom_site_fract_x
_atom_site_fract_y
_atom_site_fract_z
Ac1 Ac 0.0000 0.0000 0.2419
H1 H 0.0000 0.0000 0.5000
Au1 Au 0.0000 0.0000 0.0000
```

Which is most stable, and by how much? x, by 205 meV/atom.

--- w ---
AcSbHAu | PBE-GGA | optimized geometry

Structure (CIF):
```
data_AcSbHAu
_symmetry_space_group_name_H-M 'F -4 3 m'
_symmetry_Int_Tables_number 216
_symmetry_space_group_name_Hall 'F -4 2 3'
_cell_length_a 7.1239
_cell_length_b 7.1239
_cell_length_c 7.1239
_cell_angle_alpha 90.00
_cell_angle_beta 90.00
_cell_angle_gamma 90.00
loop_
_atom_site_label
_atom_site_type_symbol
_atom_site_fract_x
_atom_site_fract_y
_atom_site_fract_z
Ac1 Ac 0.0000 0.0000 0.0000
Sb1 Sb 0.0000 0.0000 0.5000
H1 H 0.2500 0.2500 0.7500
Au1 Au 0.2500 0.2500 0.2500
```

--- x ---
AcSbHAu | PBE-GGA | optimized geometry

Structure (CIF):
```
data_AcSbHAu
_symmetry_space_group_name_H-M 'P 3 m 1'
_symmetry_Int_Tables_number 156
_cell_length_a 4.6624
_cell_length_b 4.6624
_cell_length_c 4.7852
_cell_angle_alpha 90.00
_cell_angle_beta 90.00
_cell_angle_gamma 120.00
loop_
_symmetry_equiv_pos_as_xyz
'x,y,z'
'-y,x-y,z'
'-x+y,-x,z'
'-y,-x,z'
'-x+y,y,z'
'x,x-y,z'
loop_
_atom_site_label
_atom_site_type_symbol
_atom_site_fract_x
_atom_site_fract_y
_atom_site_fract_z
Ac1 Ac 0.0000 0.0000 0.0000
Sb1 Sb 0.6667 0.3333 0.5565
H1 H 0.3333 0.6667 0.0326
Au1 Au 0.3333 0.6667 0.4108
```

Which is most stable, and by how much? x, by 258 meV/atom.

--- w ---
Ac2Hg3Au4 | PBE-GGA | optimized geometry

Structure (CIF):
```
data_Ac2Hg3Au4
_symmetry_space_group_name_H-M 'C m c e'
_symmetry_Int_Tables_number 64
_symmetry_space_group_name_Hall '-C 2ac 2'
_cell_length_a 6.4574
_cell_length_b 16.4773
_cell_length_c 8.6316
_cell_angle_alpha 90.00
_cell_angle_beta 90.00
_cell_angle_gamma 90.00
loop_
_atom_site_label
_atom_site_type_symbol
_atom_site_fract_x
_atom_site_fract_y
_atom_site_fract_z
Ac1 Ac 0.0000 0.1223 0.0746
Hg1 Hg 0.0000 0.0000 0.5000
Hg2 Hg 0.2500 0.2093 0.7500
Au1 Au 0.0000 0.1794 0.4511
Au2 Au 0.2500 0.0326 0.7500
```

--- x ---
Ac2Hg3Au4 | PBE-GGA | optimized geometry

Structure (CIF):
```
data_Ac2Hg3Au4
_symmetry_space_group_name_H-M 'P -3 m 1'
_symmetry_Int_Tables_number 164
_symmetry_space_group_name_Hall '-P 3 2"'
_cell_length_a 5.0375
_cell_length_b 5.0375
_cell_length_c 10.5069
_cell_angle_alpha 90.00
_cell_angle_beta 90.00
_cell_angle_gamma 120.00
loop_
_atom_site_label
_atom_site_type_symbol
_atom_site_fract_x
_atom_site_fract_y
_atom_site_fract_z
Ac1 Ac 0.3333 0.6667 0.2247
Hg1 Hg 0.0000 0.0000 0.0000
Hg2 Hg 0.3333 0.6667 0.5848
Au1 Au 0.0000 0.0000 0.3638
Au2 Au 0.3333 0.6667 0.9175
```

Which is most stable, and by how much? x, by 46 meV/atom.

--- w ---
AcHgAu | PBE-GGA | optimized geometry

Structure (CIF):
```
data_AcHgAu
_symmetry_space_group_name_H-M 'P -6 m 2'
_symmetry_Int_Tables_number 187
_symmetry_space_group_name_Hall 'P -6 2'
_cell_length_a 4.9547
_cell_length_b 4.9547
_cell_length_c 3.9494
_cell_angle_alpha 90.00
_cell_angle_beta 90.00
_cell_angle_gamma 120.00
loop_
_atom_site_label
_atom_site_type_symbol
_atom_site_fract_x
_atom_site_fract_y
_atom_site_fract_z
Ac1 Ac 0.0000 0.0000 0.0000
Hg1 Hg 0.3333 0.6667 0.5000
Au1 Au 0.6667 0.3333 0.5000
```

--- x ---
AcHgAu | PBE-GGA | optimized geometry

Structure (CIF):
```
data_AcHgAu
_symmetry_space_group_name_H-M 'P -1'
_symmetry_Int_Tables_number 2
_cell_length_a 4.2199
_cell_length_b 6.7318
_cell_length_c 7.2405
_cell_angle_alpha 62.56
_cell_angle_beta 74.24
_cell_angle_gamma 89.53
loop_
_symmetry_equiv_pos_as_xyz
'x,y,z'
'-x,-y,-z'
loop_
_atom_site_label
_atom_site_type_symbol
_atom_site_fract_x
_atom_site_fract_y
_atom_site_fract_z
Ac1 Ac 0.1327 0.1641 0.1737
Hg1 Hg 0.1752 0.6231 0.2553
Au1 Au 0.4953 0.2272 0.5031
```

--- y ---
AcHgAu | PBE-GGA | optimized geometry

Structure (CIF):
```
data_AcHgAu
_symmetry_space_group_name_H-M 'P m m a'
_symmetry_Int_Tables_number 51
_cell_length_a 4.9683
_cell_length_b 3.9003
_cell_length_c 8.6876
_cell_angle_alpha 90.00
_cell_angle_beta 90.00
_cell_angle_gamma 90.00
loop_
_symmetry_equiv_pos_as_xyz
'x,y,z'
'-x,-y,-z'
'-x+1/2,-y,z'
'x+1/2,y,-z'
'x+1/2,-y,-z'
'-x+1/2,y,z'
'-x,y,-z'
'x,-y,z'
loop_
_atom_site_label
_atom_site_type_symbol
_atom_site_fract_x
_atom_site_fract_y
_atom_site_fract_z
Ac1 Ac 0.2500 0.0000 0.2249
Hg1 Hg 0.2500 0.5000 0.5845
Au1 Au 0.2500 0.5000 0.9154
```

--- z ---
AcHgAu | PBE-GGA | optimized geometry

Structure (CIF):
```
data_AcHgAu
_symmetry_space_group_name_H-M 'F -4 3 m'
_symmetry_Int_Tables_number 216
_symmetry_space_group_name_Hall 'F -4 2 3'
_cell_length_a 7.2143
_cell_length_b 7.2143
_cell_length_c 7.2143
_cell_angle_alpha 90.00
_cell_angle_beta 90.00
_cell_angle_gamma 90.00
loop_
_atom_site_label
_atom_site_type_symbol
_atom_site_fract_x
_atom_site_fract_y
_atom_site_fract_z
Ac1 Ac 0.0000 0.0000 0.0000
Hg1 Hg 0.0000 0.0000 0.5000
Au1 Au 0.2500 0.2500 0.7500
```

Which is most stable, and by how much? y, by 21 meV/atom.

--- w ---
AcHg3Au8 | PBE-GGA | optimized geometry

Structure (CIF):
```
data_AcHg3Au8
_symmetry_space_group_name_H-M 'R 3 m'
_symmetry_Int_Tables_number 160
_symmetry_space_group_name_Hall 'R 3 -2"'
_cell_length_a 5.6974
_cell_length_b 5.6974
_cell_length_c 27.8370
_cell_angle_alpha 90.00
_cell_angle_beta 90.00
_cell_angle_gamma 120.00
loop_
_atom_site_label
_atom_site_type_symbol
_atom_site_fract_x
_atom_site_fract_y
_atom_site_fract_z
Ac1 Ac 0.0000 0.0000 0.0000
Hg1 Hg 0.0000 0.0000 0.3843
Hg2 Hg 0.0000 0.0000 0.5016
Hg3 Hg 0.0000 0.0000 0.8692
Au1 Au 0.0000 0.0000 0.1859
Au2 Au 0.0000 0.0000 0.6866
Au3 Au 0.0006 0.5003 0.4372
Au4 Au 0.0005 0.5003 0.9351
```

--- x ---
AcHg3Au8 | PBE-GGA | optimized geometry

Structure (CIF):
```
data_AcHg3Au8
_symmetry_space_group_name_H-M 'P 3 m 1'
_symmetry_Int_Tables_number 156
_cell_length_a 5.5863
_cell_length_b 5.5863
_cell_length_c 9.7486
_cell_angle_alpha 90.00
_cell_angle_beta 90.00
_cell_angle_gamma 120.00
loop_
_symmetry_equiv_pos_as_xyz
'x,y,z'
'-y,x-y,z'
'-x+y,-x,z'
'-y,-x,z'
'-x+y,y,z'
'x,x-y,z'
loop_
_atom_site_label
_atom_site_type_symbol
_atom_site_fract_x
_atom_site_fract_y
_atom_site_fract_z
Ac1 Ac 0.0000 0.0000 0.0000
Hg1 Hg 0.0000 0.0000 0.3766
Hg2 Hg 0.6667 0.3333 0.5001
Hg3 Hg 0.6667 0.3333 0.8437
Au1 Au 0.1647 0.3294 0.6870
Au2 Au 0.3333 0.6667 0.4432
Au3 Au 0.3333 0.6667 0.9383
Au4 Au 0.5018 0.0036 0.1960
```

Which is most stable, and by how much? w, by 15 meV/atom.

--- w ---
Ac6Hg3Au | PBE-GGA | optimized geometry

Structure (CIF):
```
data_Ac6Hg3Au
_symmetry_space_group_name_H-M 'P 1 21/c 1'
_symmetry_Int_Tables_number 14
_cell_length_a 7.4629
_cell_length_b 9.1711
_cell_length_c 13.1685
_cell_angle_alpha 90.00
_cell_angle_beta 121.71
_cell_angle_gamma 90.00
loop_
_symmetry_equiv_pos_as_xyz
'x,y,z'
'-x,-y,-z'
'-x,y+1/2,-z+1/2'
'x,-y+1/2,z+1/2'
loop_
_atom_site_label
_atom_site_type_symbol
_atom_site_fract_x
_atom_site_fract_y
_atom_site_fract_z
Ac1 Ac 0.0696 0.0700 0.2456
Ac2 Ac 0.2024 0.6835 0.0705
Ac3 Ac 0.4137 0.1677 0.0649
Hg1 Hg 0.3207 0.1176 0.7476
Hg2 Hg 0.5000 0.0000 0.5000
Au1 Au 0.0000 0.0000 0.0000
```

--- x ---
Ac6Hg3Au | PBE-GGA | optimized geometry

Structure (CIF):
```
data_Ac6Hg3Au
_symmetry_space_group_name_H-M 'P 1 21/m 1'
_symmetry_Int_Tables_number 11
_cell_length_a 10.7631
_cell_length_b 5.3875
_cell_length_c 13.4516
_cell_angle_alpha 90.00
_cell_angle_beta 113.48
_cell_angle_gamma 90.00
loop_
_symmetry_equiv_pos_as_xyz
'x,y,z'
'-x,-y,-z'
'-x,y+1/2,-z'
'x,-y+1/2,z'
loop_
_atom_site_label
_atom_site_type_symbol
_atom_site_fract_x
_atom_site_fract_y
_atom_site_fract_z
Ac1 Ac 0.0006 0.2500 0.3826
Ac2 Ac 0.1085 0.2500 0.1171
Ac3 Ac 0.2021 0.2500 0.8498
Ac4 Ac 0.3210 0.7500 0.5366
Ac5 Ac 0.4405 0.7500 0.2753
Ac6 Ac 0.4639 0.7500 0.8852
Hg1 Hg 0.1234 0.7500 0.2761
Hg2 Hg 0.2477 0.7500 0.0133
Hg3 Hg 0.3358 0.2500 0.3840
Au1 Au 0.2264 0.2500 0.6254
```

Which is most stable, and by how much? x, by 67 meV/atom.